PBE CdBiPd3, relaxed; volume = 19.11 A^3/atom; crystal system = monoclinic; SG = P2_1/m (11); energy above the most stable polymorph in this dataset = 0.00 eV per formula unit; spin magnetization = 0.0 μB per formula unit; ΔE_f = -244 meV/atom
1.0
4.724 0.000 0.000
0.000 5.594 0.000
-2.299 0.000 7.232
Cd Bi Pd
2 2 6
Cartesian
0.000 1.398 1.070
2.426 4.195 6.162
0.014 1.398 4.322
2.412 4.195 2.910
0.051 4.195 1.601
0.065 4.195 4.685
2.362 0.000 0.000
2.362 2.797 0.000
2.361 1.398 2.547
2.375 1.398 5.631

---

PBE AlCr2Cu, relaxed; volume = 14.06 A^3/atom; crystal system = tetragonal; SG = P4/mmm (123); spin magnetization = 6.5 μB per formula unit; ΔE_f = 255 meV/atom
1.0
4.270 0.000 0.000
0.000 4.270 0.000
0.000 0.000 3.085
Al Cr Cu
1 2 1
Cartesian
0.000 0.000 0.000
0.000 2.135 1.543
2.135 0.000 1.543
2.135 2.135 0.000

---

PBE Al2IrW, relaxed; volume = 15.13 A^3/atom; crystal system = cubic; SG = F-43m (216); energy above the most stable polymorph in this dataset = 1.38 eV per formula unit; spin magnetization = 0.0 μB per formula unit; ΔE_f = -39 meV/atom
1.0
6.232 0.000 0.000
0.000 6.232 0.000
0.000 0.000 6.232
Al Ir W
8 4 4
Cartesian
0.000 0.000 0.000
0.000 3.116 3.116
1.558 1.558 1.558
1.558 4.674 4.674
3.116 0.000 3.116
3.116 3.116 0.000
4.674 1.558 4.674
4.674 4.674 1.558
1.558 1.558 4.674
1.558 4.674 1.558
4.674 1.558 1.558
4.674 4.674 4.674
0.000 0.000 3.116
0.000 3.116 0.000
3.116 0.000 0.000
3.116 3.116 3.116